Record 1
! Sc2CrW (PBE, relaxed); values from VASP
! **Raw total energy**: -33.41 eV/f.u.
! **Space group**: No. 65
&SYSTEM
  ibrav = 0, nat = 4, ntyp = 3
/
ATOMIC_SPECIES
Cr 52.00 Cr.upf
Sc 44.96 Sc.upf
W 183.84 W.upf
ATOMIC_POSITIONS angstrom
Cr -1.294 2.354 1.381
Sc 0.000 0.000 0.000
Sc 1.392 2.351 0.000
W 2.686 -0.003 1.381
CELL_PARAMETERS angstrom
5.371 -0.006 0.000
-2.587 4.707 0.000
0.000 0.000 2.763

---

Record 2
! ScCrW (PBE, relaxed); values from VASP
! **Raw total energy**: -26.73 eV/f.u.
! **Space group**: No. 216
&SYSTEM
  ibrav = 0, nat = 3, ntyp = 3
/
ATOMIC_SPECIES
Cr 52.00 Cr.upf
Sc 44.96 Sc.upf
W 183.84 W.upf
ATOMIC_POSITIONS angstrom
Cr 6.370 3.678 2.601
Sc 0.000 0.000 0.000
W 4.247 2.452 1.734
CELL_PARAMETERS angstrom
4.247 0.000 0.000
2.123 3.678 0.000
2.123 1.226 3.467

---

Record 3
! ScCrW (PBE, relaxed); values from VASP
! **Raw total energy**: -28.64 eV/f.u.
! **Space group**: No. 74
&SYSTEM
  ibrav = 0, nat = 6, ntyp = 3
/
ATOMIC_SPECIES
Sc 44.96 Sc.upf
W 183.84 W.upf
Cr 52.00 Cr.upf
ATOMIC_POSITIONS angstrom
Sc 3.784 -2.838 -2.929
Sc 2.235 -3.345 -0.156
W -0.569 -2.394 -0.851
W 1.955 1.289 -1.140
Cr 3.578 -0.697 -0.692
Cr 1.386 -1.105 -1.991
CELL_PARAMETERS angstrom
-1.138 -4.789 -1.702
3.909 2.578 -2.279
3.248 -3.972 0.896

---

Record 4
! ScCr2W (PBE, relaxed); values from VASP
! **Raw total energy**: -36.92 eV/f.u.
! **Space group**: No. 47
&SYSTEM
  ibrav = 0, nat = 4, ntyp = 3
/
ATOMIC_SPECIES
Cr 52.00 Cr.upf
Sc 44.96 Sc.upf
W 183.84 W.upf
ATOMIC_POSITIONS angstrom
Cr 0.000 0.000 0.000
Cr 1.556 2.284 0.000
Sc 1.556 0.000 2.156
W 0.000 2.284 2.156
CELL_PARAMETERS angstrom
3.111 0.000 0.000
0.000 4.569 0.000
0.000 0.000 4.313

---

Record 5
! ScCr2W (PBE, relaxed); values from VASP
! **Raw total energy**: -36.73 eV/f.u.
! **Space group**: No. 160
&SYSTEM
  ibrav = 0, nat = 4, ntyp = 3
/
ATOMIC_SPECIES
Cr 52.00 Cr.upf
Sc 44.96 Sc.upf
W 183.84 W.upf
ATOMIC_POSITIONS angstrom
Cr -10.871 -7.520 22.206
Cr -2.869 -1.984 5.860
Sc -5.541 -3.833 11.318
W -8.132 -5.625 16.610
CELL_PARAMETERS angstrom
-2.828 -1.353 8.269
-5.146 -2.208 6.844
-2.991 -4.024 7.284

---

Record 6
! ScCr2W (PBE, relaxed); values from VASP
! **Raw total energy**: -37.36 eV/f.u.
! **Space group**: No. 35
&SYSTEM
  ibrav = 0, nat = 4, ntyp = 3
/
ATOMIC_SPECIES
Cr 52.00 Cr.upf
Sc 44.96 Sc.upf
W 183.84 W.upf
ATOMIC_POSITIONS angstrom
Cr 0.000 -0.079 0.123
Cr -1.550 -1.025 1.592
Sc 0.002 -2.266 3.542
W -1.547 -3.616 5.642
CELL_PARAMETERS angstrom
-1.559 1.879 1.203
-1.543 -1.889 -1.207
0.004 -4.650 7.269

---

Record 7
! ScCr2W (PBE, relaxed); values from VASP
! **Raw total energy**: -36.45 eV/f.u.
! **Space group**: No. 25
&SYSTEM
  ibrav = 0, nat = 4, ntyp = 3
/
ATOMIC_SPECIES
Cr 52.00 Cr.upf
Sc 44.96 Sc.upf
W 183.84 W.upf
ATOMIC_POSITIONS angstrom
Cr -1.722 2.278 4.371
Cr -0.758 -1.752 2.118
Sc -0.840 1.112 2.133
W -1.681 -0.532 4.460
CELL_PARAMETERS angstrom
-2.415 -1.469 -0.186
1.729 -3.135 2.315
-1.726 2.284 4.381

---

Record 8
! ScCr2W (PBE, relaxed); values from VASP
! **Raw total energy**: -36.51 eV/f.u.
! **Space group**: No. 12
&SYSTEM
  ibrav = 0, nat = 4, ntyp = 3
/
ATOMIC_SPECIES
Cr 52.00 Cr.upf
Sc 44.96 Sc.upf
W 183.84 W.upf
ATOMIC_POSITIONS angstrom
Cr -0.244 -7.041 -3.990
Cr 1.970 -4.500 -1.488
Sc 3.274 -6.754 -2.074
W 1.091 -2.251 -0.691
CELL_PARAMETERS angstrom
-0.822 -4.171 -0.860
0.365 -2.866 -3.235
4.822 -1.968 1.329